Cs2NaCaB after structural relaxation. Source: Alexandria via LeMat-Bulk, functional PBE.

It has space group P4/mmm (No. 123), with a = 7.4081 Å, b = 7.4081 Å, c = 4.9781 Å, α = 90.00°, β = 90.00° and γ = 90.00°. Symmetry generates all atoms from Cs at (0.0000, 0.5000, 0.0000), Na at (0.0000, 0.0000, 0.0000), Ca at (0.5000, 0.5000, 0.5000) and B at (0.0000, 0.0000, 0.5000).

Its crystal system is tetragonal. The formation energy is 1018 meV per atom. For the volume, the calculation gives 54.64 Å³/atom.